Record 1
The following is a PBE calculation of a relaxed structure of AcThCuNi, from Alexandria.

abc: 7.2649 7.2649 7.2649
angles: 90.00 90.00 90.00
Space group F-43m (No. 216)
Inequivalent atoms, fractional coordinates:
1 Ac 0.0000 0.0000 0.0000 x4
2 Th 0.0000 0.0000 0.5000 x4
3 Cu 0.2500 0.2500 0.7500 x4
4 Ni 0.2500 0.2500 0.2500 x4

Summary:
E_form = -62 meV/atom
total magnetic moment = 0.000 μB/cell
electronic total energy = -21.7 eV per formula unit

---

Record 2
The following is a PBE calculation of a relaxed structure of AcTmCuNi, from Alexandria.

abc: 7.1409 7.1409 7.1409
angles: 90.00 90.00 90.00
Space group F-43m (No. 216)
Inequivalent atoms, fractional coordinates:
1 Ac 0.0000 0.0000 0.0000 x4
2 Tm 0.0000 0.0000 0.5000 x4
3 Cu 0.2500 0.2500 0.7500 x4
4 Ni 0.2500 0.2500 0.2500 x4

Summary:
E_form = -166 meV/atom
total magnetic moment = 0.000 μB/cell
electronic total energy = -19.1 eV per formula unit

---

Record 3
The following is a PBE calculation of a relaxed structure of AcYCuNi, from Alexandria.

abc: 7.2024 7.2024 7.2024
angles: 90.00 90.00 90.00
Space group F-43m (No. 216)
Inequivalent atoms, fractional coordinates:
1 Ac 0.0000 0.0000 0.0000 x4
2 Y 0.0000 0.0000 0.5000 x4
3 Cu 0.2500 0.2500 0.7500 x4
4 Ni 0.2500 0.2500 0.2500 x4

Summary:
E_form = -146 meV/atom
total magnetic moment = 0.000 μB/cell
electronic total energy = -21.0 eV per formula unit

---

Record 4
The following is a PBE calculation of a relaxed structure of Ac2ZnCu6Ni, from Alexandria.

abc: 6.2700 6.2909 6.3254
angles: 61.64 61.73 61.67
Space group P-1 (No. 2)
Inequivalent atoms, fractional coordinates:
1 Ac 0.1850 0.1834 0.1857 x2
2 Zn 0.5000 0.5000 0.5000 x1
3 Cu 0.1651 0.3163 0.6161 x2
4 Cu 0.3180 0.6159 0.1654 x2
5 Cu 0.3824 0.8335 0.6838 x2
6 Ni 0.0000 0.0000 0.0000 x1

Summary:
E_form = -101 meV/atom
total magnetic moment = 0.000 μB/cell
electronic total energy = -40.9 eV per formula unit

---

Record 5
The following is a PBE calculation of a relaxed structure of AcZnCuNi2, from Alexandria.

abc: 4.0559 4.0559 10.7713
angles: 90.00 90.00 90.00
Space group I-4m2 (No. 119)
Inequivalent atoms, fractional coordinates:
1 Ac 0.0000 0.0000 0.0000 x2
2 Zn 0.0000 0.5000 0.7500 x2
3 Cu 0.0000 0.5000 0.2500 x2
4 Ni 0.0000 0.0000 0.3867 x4

Summary:
E_form = -223 meV/atom
total magnetic moment = 0.000 μB/cell
electronic total energy = -22.2 eV per formula unit

---

Record 6
The following is a PBE calculation of a relaxed structure of AcZnCuNi3, from Alexandria.

abc: 5.7594 11.8423 5.9474
angles: 90.00 90.00 90.00
Space group Cmcm (No. 63)
Inequivalent atoms, fractional coordinates:
1 Ac 0.0000 0.2005 0.2500 x4
2 Zn 0.0000 0.1379 0.7500 x4
3 Cu 0.0000 0.4363 0.2500 x4
4 Ni 0.0000 0.3563 0.7500 x4
5 Ni 0.2101 0.0000 0.0000 x8

Summary:
E_form = 3 meV/atom
total magnetic moment = 0.000 μB/cell
electronic total energy = -26.8 eV per formula unit

---

Record 7
The following is a PBE calculation of a relaxed structure of Ac2ZnCu12Ni3, from Alexandria.

abc: 8.0033 8.0033 18.6147
angles: 90.00 90.00 120.00
Space group R-3m (No. 166, hexagonal axes)
Inequivalent atoms, fractional coordinates:
1 Ac 0.0000 0.0000 0.1100 x6
2 Zn 0.0000 0.0000 0.5000 x3
3 Cu 0.0180 0.5090 0.1276 x18
4 Cu 0.1076 0.2152 0.7308 x18
5 Ni 0.0000 0.5000 0.0000 x9

Summary:
E_form = 358 meV/atom
total magnetic moment = 0.000 μB/cell
electronic total energy = -69.6 eV per formula unit

---

Record 8
The following is a PBE calculation of a relaxed structure of Ac2Zn3Cu12Ni, from Alexandria.

abc: 6.3045 6.3045 26.6735
angles: 90.00 90.00 120.00
Space group R-3m (No. 166, hexagonal axes)
Inequivalent atoms, fractional coordinates:
1 Ac 0.0000 0.0000 0.1533 x6
2 Zn 0.0000 0.5000 0.0000 x9
3 Cu 0.0646 0.5323 0.0937 x18
4 Cu 0.0749 0.5375 0.6188 x18
5 Ni 0.0000 0.0000 0.5000 x3

Summary:
E_form = 113 meV/atom
total magnetic moment = 0.000 μB/cell
electronic total energy = -64.9 eV per formula unit

---

Record 9
The following is a PBE calculation of a relaxed structure of Ac3ZnCu6Ni2, from Alexandria.

abc: 6.1599 6.1599 7.5692
angles: 90.00 90.00 120.00
Space group P-3m1 (No. 164)
Inequivalent atoms, fractional coordinates:
1 Ac 0.0000 0.0000 0.0000 x1
2 Ac 0.3333 0.6667 0.7534 x2
3 Zn 0.0000 0.0000 0.5000 x1
4 Cu 0.2002 0.4003 0.3711 x6
5 Ni 0.3333 0.6667 0.1142 x2

Summary:
E_form = -3 meV/atom
total magnetic moment = 0.000 μB/cell
electronic total energy = -49.8 eV per formula unit

---

Record 10
The following is a PBE calculation of a relaxed structure of AcZnCuNi, from Alexandria.

abc: 7.4470 4.2933 5.6577
angles: 90.00 116.13 90.00
Space group Cm (No. 8)
Inequivalent atoms, fractional coordinates:
1 Ac 0.0000 0.0000 0.0000 x2
2 Zn 0.0068 0.5000 0.5189 x2
3 Cu 0.3044 0.5000 0.4126 x2
4 Ni 0.1964 0.0000 0.5868 x2

Summary:
E_form = -277 meV/atom
total magnetic moment = 0.000 μB/cell
electronic total energy = -16.4 eV per formula unit

---

Record 11
The following is a PBE calculation of a relaxed structure of Ac3Zn2CuNi6, from Alexandria.

abc: 5.5320 5.5320 8.6816
angles: 90.00 90.00 120.00
Space group P-3m1 (No. 164)
Inequivalent atoms, fractional coordinates:
1 Ac 0.0000 0.0000 0.0000 x1
2 Ac 0.3333 0.6667 0.6302 x2
3 Zn 0.3333 0.6667 0.0624 x2
4 Cu 0.0000 0.0000 0.5000 x1
5 Ni 0.1745 0.3491 0.2901 x6

Summary:
E_form = -142 meV/atom
total magnetic moment = 0.000 μB/cell
electronic total energy = -55.4 eV per formula unit

---

Record 12
The following is a PBE calculation of a relaxed structure of Ac2NpCu3O12, from Alexandria.

abc: 5.8448 5.8448 24.8989
angles: 90.00 90.00 120.00
Space group R-3m (No. 166, hexagonal axes)
Inequivalent atoms, fractional coordinates:
1 Ac 0.0000 0.0000 0.1093 x6
2 Np 0.0000 0.0000 0.5000 x3
3 Cu 0.0000 0.5000 0.0000 x9
4 O 0.0027 0.5014 0.8744 x18
5 O 0.0305 0.5152 0.3678 x18

Summary:
total magnetic moment = 6.055 μB/cell
electronic total energy = -121.6 eV per formula unit
energy relative to the elements, uncorrected = -1.590 eV per atom

---

Record 13
The following is a PBE calculation of a relaxed structure of Ac2NpCuO6, from Alexandria.

abc: 10.7095 5.7549 6.0147
angles: 90.00 122.05 90.00
Space group C2/m (No. 12)
Inequivalent atoms, fractional coordinates:
1 Ac 0.2416 0.0000 0.2144 x4
2 Np 0.0000 0.0000 0.5000 x2
3 Cu 0.0000 0.5000 0.0000 x2
4 O 0.0700 0.2503 0.8196 x8
5 O 0.2200 0.0000 0.6024 x4

Summary:
total magnetic moment = 3.997 μB/cell
electronic total energy = -82.0 eV per formula unit
energy relative to the elements, uncorrected = -2.696 eV per atom

---

Record 14
The following is a PBE calculation of a relaxed structure of AcNp2CuP4, from Alexandria.

abc: 4.0456 13.2099 13.2984
angles: 90.00 90.00 90.00
Space group Cmcm (No. 63)
Inequivalent atoms, fractional coordinates:
1 Ac 0.0000 0.1101 0.2500 x4
2 Np 0.0000 0.3689 0.0581 x8
3 Cu 0.0000 0.1540 0.7500 x4
4 P 0.0000 0.0000 0.0000 x4
5 P 0.0000 0.2624 0.6140 x8
6 P 0.0000 0.4375 0.2500 x4

Summary:
E_form = -857 meV/atom
total magnetic moment = 23.980 μB/cell
electronic total energy = -62.6 eV per formula unit

---

Record 15
The following is a PBE calculation of a relaxed structure of Ac2NpCuRh6, from Alexandria.

abc: 9.5714 9.5714 9.5714
angles: 90.00 90.00 90.00
Space group Fm-3m (No. 225)
Inequivalent atoms, fractional coordinates:
1 Ac 0.2500 0.2500 0.2500 x8
2 Np 0.0000 0.0000 0.0000 x4
3 Cu 0.0000 0.0000 0.5000 x4
4 Rh 0.0000 0.0000 0.2502 x24

Summary:
E_form = -114 meV/atom
total magnetic moment = 0.000 μB/cell
electronic total energy = -70.5 eV per formula unit

---

Record 16
The following is a PBE calculation of a relaxed structure of Ac2NpCu2S6, from Alexandria.

abc: 7.1031 7.1031 19.5106
angles: 90.00 90.00 120.00
Space group R-3m (No. 166, hexagonal axes)
Inequivalent atoms, fractional coordinates:
1 Ac 0.0000 0.0000 0.2090 x6
2 Np 0.0000 0.0000 0.0000 x3
3 Cu 0.0000 0.0000 0.4287 x6
4 S 0.0209 0.5104 0.7602 x18

Summary:
total magnetic moment = 9.001 μB/cell
electronic total energy = -66.8 eV per formula unit
energy relative to the elements, uncorrected = -1.156 eV per atom

---

Record 17
The following is a PBE calculation of a relaxed structure of AcNpCuS4, from Alexandria.

abc: 6.3915 6.3035 8.0728
angles: 90.00 107.73 90.00
Space group P2_1/m (No. 11)
Inequivalent atoms, fractional coordinates:
1 Ac 0.2481 0.2500 0.0598 x2
2 Np 0.2293 0.2500 0.5554 x2
3 Cu 0.2347 0.7500 0.3218 x2
4 S 0.0215 0.5130 0.7305 x4
5 S 0.4288 0.7500 0.1293 x2
6 S 0.4492 0.7500 0.5973 x2

Summary:
total magnetic moment = 6.045 μB/cell
electronic total energy = -47.0 eV per formula unit
energy relative to the elements, uncorrected = -1.341 eV per atom

---

Record 18
The following is a PBE calculation of a relaxed structure of Ac2NpCuSe6, from Alexandria.

abc: 6.9687 7.9162 11.9804
angles: 90.00 123.82 90.00
Space group P2_1/c (No. 14)
Inequivalent atoms, fractional coordinates:
1 Ac 0.2117 0.1024 0.2496 x4
2 Np 0.5000 0.0000 0.0000 x2
3 Cu 0.0000 0.0000 0.5000 x2
4 Se 0.1226 0.1818 0.9479 x4
5 Se 0.2752 0.6911 0.9483 x4
6 Se 0.3412 0.0220 0.7340 x4

Summary:
total magnetic moment = 3.923 μB/cell
electronic total energy = -59.6 eV per formula unit
energy relative to the elements, uncorrected = -1.340 eV per atom

---

Record 19
The following is a PBE calculation of a relaxed structure of AcNpCuSe4, from Alexandria.

abc: 6.9550 6.2283 8.4843
angles: 90.00 107.43 90.00
Space group P2_1/m (No. 11)
Inequivalent atoms, fractional coordinates:
1 Ac 0.2471 0.2500 0.4361 x2
2 Np 0.2477 0.2500 0.9407 x2
3 Cu 0.2549 0.7500 0.1840 x2
4 Se 0.0682 0.7500 0.8999 x2
5 Se 0.0715 0.7500 0.3807 x2
6 Se 0.4802 0.5123 0.7650 x4

Summary:
total magnetic moment = 7.079 μB/cell
electronic total energy = -43.3 eV per formula unit
energy relative to the elements, uncorrected = -1.174 eV per atom

---

Record 20
The following is a PBE calculation of a relaxed structure of Ac2NpCuTe5, from Alexandria.

abc: 4.4975 19.5608 13.3548
angles: 90.00 90.00 90.00
Space group Cmc2_1 (No. 36)
Inequivalent atoms, fractional coordinates:
1 Ac 0.0000 0.1106 0.0000 x4
2 Ac 0.0000 0.1237 0.6220 x4
3 Np 0.0000 0.1940 0.3227 x4
4 Cu 0.0000 0.4283 0.7666 x4
5 Te 0.0000 0.0443 0.3666 x4
6 Te 0.0000 0.2898 0.9819 x4
7 Te 0.0000 0.3102 0.6612 x4
8 Te 0.0000 0.3563 0.3145 x4
9 Te 0.0000 0.4991 0.5966 x4

Summary:
total magnetic moment = 16.007 μB/cell
electronic total energy = -50.7 eV per formula unit
energy relative to the elements, uncorrected = -1.085 eV per atom